Sm3Ga8Cu3 PBE-GGA optimized geometry; energy above the most stable polymorph in this dataset = 0.25 eV/f.u.; magnetic moment = 0.0 Bohr magnetons per cell; calculated formation energy = -468 meV/atom; E = -4.087 eV/atom
1.0
4.156 0.000 1.096
1.424 7.537 3.026
0.068 -0.440 8.170
Cu Ga Sm
3 8 3
Direct
0.344 0.298 0.014
0.656 0.702 0.986
0.000 0.500 0.500
0.856 0.862 0.425
0.344 0.041 0.271
0.500 0.303 0.697
0.656 0.959 0.729
0.147 0.579 0.127
0.500 0.697 0.303
0.144 0.138 0.575
0.853 0.421 0.873
0.306 0.685 0.702
0.694 0.315 0.298
0.000 0.000 0.000

Sm2Ga2Cu PBE-GGA optimized geometry; magnetic moment = 0.0 Bohr magnetons per cell; calculated formation energy = -526 meV/atom; E = -4.443 eV/atom
1.0
-3.513 2.388 1.275
-4.935 -2.860 -0.530
-0.752 -2.056 9.495
Ga Sm Cu
4 4 2
Direct
0.631 0.853 0.886
0.369 0.147 0.114
0.920 0.722 0.438
0.080 0.278 0.562
0.081 0.728 0.110
0.688 0.291 0.334
0.919 0.272 0.890
0.312 0.709 0.666
0.381 0.890 0.347
0.619 0.110 0.653

SmGa7Cu12 PBE-GGA optimized geometry; magnetic moment = 0.0 Bohr magnetons per cell; calculated formation energy = -65 meV/atom; E = -3.818 eV/atom
1.0
6.192 0.000 -1.711
-3.034 6.307 -2.940
-0.125 0.000 7.590
Ga Cu Sm
7 12 1
Direct
0.809 0.000 0.346
0.191 0.654 0.000
0.500 0.000 0.000
0.809 0.346 0.000
0.191 0.000 0.654
0.537 0.346 0.346
0.463 0.654 0.654
0.603 0.000 0.660
0.397 0.340 0.000
0.603 0.660 0.000
0.271 0.542 0.271
0.729 0.729 0.458
0.000 0.729 0.271
0.271 0.271 0.542
0.943 0.340 0.340
0.729 0.458 0.729
0.057 0.660 0.660
0.397 0.000 0.340
0.000 0.271 0.729
0.000 0.000 0.000

SmGa2Cu PBE-GGA optimized geometry; magnetic moment = 0.0 Bohr magnetons per cell; calculated formation energy = 213 meV/atom; E = -3.504 eV/atom
1.0
-1.087 -3.028 -0.371
0.465 -2.186 2.344
-8.632 0.792 4.690
Sm Cu Ga
1 1 2
Direct
0.000 0.000 0.000
0.500 0.500 0.500
0.895 0.895 0.314
0.105 0.105 0.686

Sm3Ga3Cu8 PBE-GGA optimized geometry; magnetic moment = 0.0 Bohr magnetons per cell; calculated formation energy = -281 meV/atom; E = -4.282 eV/atom
1.0
4.237 0.000 0.000
2.119 7.739 0.230
2.119 2.328 7.384
Ga Cu Sm
3 8 3
Direct
0.000 0.215 0.785
0.000 0.785 0.215
0.500 0.000 0.000
0.630 0.087 0.652
0.169 0.474 0.188
0.831 0.526 0.812
0.169 0.188 0.474
0.370 0.913 0.348
0.831 0.812 0.526
0.630 0.652 0.087
0.370 0.348 0.913
0.800 0.200 0.200
0.200 0.800 0.800
0.500 0.500 0.500

Sm2GaCu3 PBE-GGA optimized geometry; energy above the most stable polymorph in this dataset = 0.10 eV/f.u.; magnetic moment = 0.0 Bohr magnetons per cell; calculated formation energy = -309 meV/atom; E = -4.435 eV/atom
1.0
3.762 0.000 -1.001
-0.298 3.943 -1.121
0.155 0.186 8.150
Sm Ga Cu
2 1 3
Direct
0.128 0.128 0.255
0.869 0.369 0.739
0.460 0.960 0.920
0.704 0.704 0.407
0.296 0.796 0.592
0.543 0.543 0.086

SmGa8Cu4 PBE-GGA optimized geometry; energy above the most stable polymorph in this dataset = 0.00 eV/f.u.; magnetic moment = 0.0 Bohr magnetons per cell; calculated formation energy = -229 meV/atom; E = -3.715 eV/atom
1.0
-4.137 3.320 -0.144
-5.996 -3.225 0.155
-2.059 1.943 6.194
Ga Cu Sm
8 4 1
Direct
0.000 0.652 0.348
0.716 0.784 0.784
0.652 0.348 0.348
0.500 0.784 0.216
0.284 0.216 0.216
0.348 0.652 0.652
0.500 0.216 0.784
0.000 0.348 0.652
0.500 0.000 0.500
0.000 0.500 0.000
0.500 0.500 0.000
0.000 0.000 0.500
0.000 0.000 0.000

Sm3Ga3Cu2 PBE-GGA optimized geometry; magnetic moment = 0.0 Bohr magnetons per cell; calculated formation energy = -509 meV/atom; E = -4.437 eV/atom
1.0
4.421 0.000 0.000
-2.210 5.207 0.000
0.000 0.000 14.855
Ga Sm Cu
6 6 4
Direct
0.325 0.649 0.250
0.612 0.224 0.460
0.612 0.224 0.040
0.388 0.776 0.960
0.675 0.351 0.750
0.388 0.776 0.540
0.103 0.207 0.607
0.897 0.793 0.393
0.617 0.234 0.250
0.383 0.766 0.750
0.103 0.207 0.893
0.897 0.793 0.107
0.196 0.393 0.400
0.804 0.607 0.900
0.196 0.393 0.100
0.804 0.607 0.600